# 1
A plane-wave DFT calculation with PBE was carried out for crystalline YBTe3 at its relaxed geometry.

Results
As for the raw formation energy: 40.8 meV per atom. The total energy comes out at -22.4 eV for the cell shown. The value obtained for the volume is 24.4 Å³/atom. The size of the total moment comes out at 0.00 μB/cell.

Lattice parameters (Å, degrees): 4.959 4.959 4.959 90.00 90.00 90.00
Element x y z (fractional)
Y: 0.000 0.000 0.000
B: 0.500 0.500 0.500
Te: 0.000 0.500 0.500
Te: 0.500 0.000 0.500
Te: 0.500 0.500 0.000

=====

# 2
A plane-wave DFT calculation with PBE was carried out for crystalline YB3Te at its relaxed geometry.

Results
As for the raw formation energy: 2103.0 meV per atom. The total energy comes out at -19.1 eV for the cell shown. The value obtained for the volume is 22.0 Å³/atom. The size of the total moment comes out at 0.00 μB/cell.

Lattice parameters (Å, degrees): 4.790 4.790 4.790 90.00 90.00 90.00
Element x y z (fractional)
Y: 0.000 0.000 0.000
B: 0.000 0.000 0.500
B: 0.000 0.500 0.000
B: 0.500 0.000 0.000
Te: 0.500 0.500 0.500

=====

# 3
A plane-wave DFT calculation with PBE was carried out for crystalline Zn3BTe at its relaxed geometry.

Results
As for the raw formation energy: 329.8 meV per atom. The total energy comes out at -12.0 eV for the cell shown. The value obtained for the volume is 17.3 Å³/atom. The size of the total moment comes out at 0.00 μB/cell.

Lattice parameters (Å, degrees): 4.419 4.419 4.419 90.00 90.00 90.00
Element x y z (fractional)
Zn: 0.000 0.000 0.500
Zn: 0.000 0.500 0.000
Zn: 0.500 0.000 0.000
B: 0.000 0.000 0.000
Te: 0.500 0.500 0.500